The following is a PBE calculation of crystalline ScP2PdO at its relaxed geometry, from Alexandria.

Cell lengths 5.0713, 5.0713, 3.7967 Å; angles 90.00, 90.00, 90.00 degrees
With the nearest neighbours (Å) after each atom.
Space group P4/mmm (No. 123)
Unique sites:
Sc 0.0000 0.0000 0.0000 (multiplicity 1)  2 O 1.90
P 0.0000 0.5000 0.0000 (multiplicity 2)  2 Sc 2.54
Pd 0.5000 0.5000 0.5000 (multiplicity 1)  8 P 3.17
O 0.0000 0.0000 0.5000 (multiplicity 1)  2 Sc 1.90

Calculated values
As for the magnetic moment: 0.00 μB per formula unit. Its energy above the most stable polymorph in this dataset is 0 meV per atom. Its density of states at the Fermi level is 3.1 states/eV/cell. The electronic total energy comes out at -5.545 eV per atom. As for the uncorrected formation energy: -84 meV/atom.